[1]
This record from Alexandria describes crystalline Mn3Co at its relaxed geometry. The functional is PBEsol.

```
data_Mn3Co
_chemical_formula_sum 'Mn6 Co2'
_space_group_name_H-M_alt 'I m m 2'
_space_group_IT_number 44
_cell_length_a 2.428
_cell_length_b 7.812
_cell_length_c 4.268
_cell_angle_alpha 90.00
_cell_angle_beta 90.00
_cell_angle_gamma 90.00
loop_
_space_group_symop_operation_xyz
'x,y,z'
'-x,-y,z'
'-x,y,z'
'x,-y,z'
'x+1/2,y+1/2,z+1/2'
'-x+1/2,-y+1/2,z+1/2'
'-x+1/2,y+1/2,z+1/2'
'x+1/2,-y+1/2,z+1/2'
loop_
_atom_site_label
_atom_site_type_symbol
_atom_site_fract_x
_atom_site_fract_y
_atom_site_fract_z
_atom_site_occupancy
Mn1 Mn 0.000 0.000 0.000 1
Mn2 Mn 0.000 0.250 0.672 1
Co1 Co 0.000 0.500 0.003 1
```

Values from the calculation:
Electronic total energy = -9.25 eV per atom
ΔE_f = 0.00 eV/atom


[2]
This record from Alexandria describes crystalline MnCo2 at its relaxed geometry. The functional is PBEsol.

```
data_MnCo2
_chemical_formula_sum 'Mn4 Co8'
_space_group_name_H-M_alt 'C 1 2/m 1'
_space_group_IT_number 12
_cell_length_a 8.852
_cell_length_b 2.434
_cell_length_c 5.743
_cell_angle_alpha 90.00
_cell_angle_beta 104.15
_cell_angle_gamma 90.00
loop_
_space_group_symop_operation_xyz
'x,y,z'
'-x,-y,-z'
'-x,y,-z'
'x,-y,z'
'x+1/2,y+1/2,z'
'-x+1/2,-y+1/2,-z'
'-x+1/2,y+1/2,-z'
'x+1/2,-y+1/2,z'
loop_
_atom_site_label
_atom_site_type_symbol
_atom_site_fract_x
_atom_site_fract_y
_atom_site_fract_z
_atom_site_occupancy
Mn1 Mn 0.195 0.000 0.138 1
Co1 Co 0.027 0.500 0.807 1
Co2 Co 0.140 0.000 0.531 1
```

Values from the calculation:
Electronic total energy = -8.37 eV per atom
ΔE_f = 0.04 eV/atom


[3]
This record from Alexandria describes crystalline Mn3Co at its relaxed geometry. The functional is PBEsol.

```
data_Mn3Co
_chemical_formula_sum 'Mn12 Co4'
_space_group_name_H-M_alt 'P n m a'
_space_group_IT_number 62
_cell_length_a 4.217
_cell_length_b 7.852
_cell_length_c 4.903
_cell_angle_alpha 90.00
_cell_angle_beta 90.00
_cell_angle_gamma 90.00
loop_
_space_group_symop_operation_xyz
'x,y,z'
'-x,-y,-z'
'-x+1/2,-y,z+1/2'
'x+1/2,y,-z+1/2'
'x+1/2,-y+1/2,-z+1/2'
'-x+1/2,y+1/2,z+1/2'
'-x,y+1/2,-z'
'x,-y+1/2,z'
loop_
_atom_site_label
_atom_site_type_symbol
_atom_site_fract_x
_atom_site_fract_y
_atom_site_fract_z
_atom_site_occupancy
Mn1 Mn 0.089 0.250 0.119 1
Mn2 Mn 0.245 0.000 0.372 1
Co1 Co 0.086 0.250 0.624 1
```

Values from the calculation:
Electronic total energy = -9.22 eV per atom
ΔE_f = 0.03 eV/atom


[4]
This record from Alexandria describes crystalline Mn5Co4 at its relaxed geometry. The functional is PBEsol.

```
data_Mn5Co4
_chemical_formula_sum 'Mn10 Co8'
_space_group_name_H-M_alt 'I 4/m m m'
_space_group_IT_number 139
_space_group_name_Hall '-I 4 2'
_cell_length_a 7.263
_cell_length_b 7.263
_cell_length_c 3.433
_cell_angle_alpha 90.00
_cell_angle_beta 90.00
_cell_angle_gamma 90.00
loop_
_atom_site_label
_atom_site_type_symbol
_atom_site_fract_x
_atom_site_fract_y
_atom_site_fract_z
_atom_site_occupancy
Mn1 Mn 0.000 0.000 0.000 1
Mn2 Mn 0.167 0.167 0.500 1
Co1 Co 0.000 0.331 0.000 1
```

Values from the calculation:
Electronic total energy = -8.82 eV per atom
ΔE_f = 0.05 eV/atom


[5]
This record from Alexandria describes crystalline Mn3Co at its relaxed geometry. The functional is PBEsol.

```
data_Mn3Co
_chemical_formula_sum 'Mn3 Co1'
_space_group_name_H-M_alt 'P m m 2'
_space_group_IT_number 25
_cell_length_a 2.432
_cell_length_b 3.909
_cell_length_c 4.259
_cell_angle_alpha 90.00
_cell_angle_beta 90.00
_cell_angle_gamma 90.00
loop_
_space_group_symop_operation_xyz
'x,y,z'
'-x,-y,z'
'-x,y,z'
'x,-y,z'
loop_
_atom_site_label
_atom_site_type_symbol
_atom_site_fract_x
_atom_site_fract_y
_atom_site_fract_z
_atom_site_occupancy
Mn1 Mn 0.000 0.000 0.000 1
Mn2 Mn 0.000 0.500 0.329 1
Mn3 Mn 0.500 0.500 0.828 1
Co1 Co 0.500 0.000 0.494 1
```

Values from the calculation:
Electronic total energy = -9.26 eV per atom
ΔE_f = 0.00 eV/atom


[6]
This record from Alexandria describes crystalline Mn5Co3 at its relaxed geometry. The functional is PBEsol.

```
data_Mn5Co3
_chemical_formula_sum 'Mn10 Co6'
_space_group_name_H-M_alt 'C m m m'
_space_group_IT_number 65
_space_group_name_Hall '-C 2 2'
_cell_length_a 6.875
_cell_length_b 6.919
_cell_length_c 3.439
_cell_angle_alpha 90.00
_cell_angle_beta 90.00
_cell_angle_gamma 90.00
loop_
_atom_site_label
_atom_site_type_symbol
_atom_site_fract_x
_atom_site_fract_y
_atom_site_fract_z
_atom_site_occupancy
Mn1 Mn 0.000 0.000 0.000 1
Mn2 Mn 0.000 0.252 0.500 1
Mn3 Mn 0.250 0.250 0.000 1
Co1 Co 0.000 0.500 0.000 1
Co2 Co 0.247 0.500 0.500 1
```

Values from the calculation:
Electronic total energy = -8.98 eV per atom
ΔE_f = 0.02 eV/atom


[7]
This record from Alexandria describes crystalline MnCo2 at its relaxed geometry. The functional is PBEsol.

```
data_MnCo2
_chemical_formula_sum 'Mn8 Co16'
_space_group_name_H-M_alt 'I 41/a m d'
_space_group_IT_number 141
_cell_length_a 3.428
_cell_length_b 3.428
_cell_length_c 20.412
_cell_angle_alpha 90.00
_cell_angle_beta 90.00
_cell_angle_gamma 90.00
loop_
_space_group_symop_operation_xyz
'x,y,z'
'-x,-y,-z'
'-y+1/4,x+3/4,z+1/4'
'y+1/4,-x+3/4,-z+1/4'
'-x+1/2,-y,z+1/2'
'x+1/2,y,-z+1/2'
'y+1/4,-x+1/4,z+3/4'
'-y+1/4,x+1/4,-z+3/4'
'x,-y,-z'
'-x,y,z'
'-y+1/4,-x+1/4,-z+3/4'
'y+1/4,x+1/4,z+3/4'
'-x+1/2,y,-z+1/2'
'x+1/2,-y,z+1/2'
'y+1/4,x+3/4,-z+1/4'
'-y+1/4,-x+3/4,z+1/4'
'x+1/2,y+1/2,z+1/2'
'-x+1/2,-y+1/2,-z+1/2'
'-y+3/4,x+1/4,z+3/4'
'y+3/4,-x+1/4,-z+3/4'
'-x,-y+1/2,z'
'x,y+1/2,-z'
'y+3/4,-x+3/4,z+1/4'
'-y+3/4,x+3/4,-z+1/4'
'x+1/2,-y+1/2,-z+1/2'
'-x+1/2,y+1/2,z+1/2'
'-y+3/4,-x+3/4,-z+1/4'
'y+3/4,x+3/4,z+1/4'
'-x,y+1/2,-z'
'x,-y+1/2,z'
'y+3/4,x+1/4,-z+3/4'
'-y+3/4,-x+1/4,z+3/4'
loop_
_atom_site_label
_atom_site_type_symbol
_atom_site_fract_x
_atom_site_fract_y
_atom_site_fract_z
_atom_site_occupancy
Mn1 Mn 0.000 0.250 0.290 1
Co1 Co 0.000 0.250 0.124 1
Co2 Co 0.000 0.250 0.792 1
```

Values from the calculation:
Electronic total energy = -8.36 eV per atom
ΔE_f = 0.05 eV/atom


[8]
This record from Alexandria describes crystalline MnCo5 at its relaxed geometry. The functional is PBEsol.

```
data_MnCo5
_chemical_formula_sum 'Mn2 Co10'
_space_group_name_H-M_alt 'A m m 2'
_space_group_IT_number 38
_cell_length_a 3.910
_cell_length_b 2.447
_cell_length_c 12.745
_cell_angle_alpha 90.00
_cell_angle_beta 90.00
_cell_angle_gamma 90.00
loop_
_space_group_symop_operation_xyz
'x,y,z'
'-x,-y,z'
'-x,y,z'
'x,-y,z'
'x,y+1/2,z+1/2'
'-x,-y+1/2,z+1/2'
'-x,y+1/2,z+1/2'
'x,-y+1/2,z+1/2'
loop_
_atom_site_label
_atom_site_type_symbol
_atom_site_fract_x
_atom_site_fract_y
_atom_site_fract_z
_atom_site_occupancy
Mn1 Mn 0.000 0.000 0.000 1
Co1 Co 0.000 0.000 0.334 1
Co2 Co 0.000 0.000 0.667 1
Co3 Co 0.500 0.000 0.223 1
Co4 Co 0.500 0.000 0.557 1
Co5 Co 0.500 0.000 0.890 1
```

Values from the calculation:
Electronic total energy = -8.03 eV per atom
ΔE_f = 0.04 eV/atom